Record 1
Density functional theory data (PBE-GGA) for crystalline NaPPdCl2 at its relaxed geometry.

abc: 5.2628 5.2628 4.4675
angles: 90.00 90.00 90.00
Last column: nearest neighbours and their distance in Å.
Positions (direct):
Na 0.0000 0.0000 0.0000  8 Cl 3.45, 4 P 3.72
P 0.5000 0.5000 0.0000  2 Pd 2.23
Pd 0.5000 0.5000 0.5000  2 P 2.23
Cl 0.0000 0.5000 0.5000  2 Pd 2.63
Cl 0.5000 0.0000 0.5000  2 Pd 2.63

Properties
The calculation puts the magnetic moment at 0.0000 μB/atom. Its density is 3.10 g cm⁻³. Its space-group type is P4/mmm. The calculation puts the formation energy without anion corrections at -0.350 eV/atom.


Record 2
Density functional theory data (PBE-GGA) for crystalline Li2Ni3B at its relaxed geometry.

abc: 6.8154 6.8154 6.8154
angles: 157.72 144.73 42.11
Last column: nearest neighbours and their distance in Å.
Positions (direct):
Li 0.1968 0.1968 0.0000  2 Ni 2.36, 2 Li 2.63
Li 0.8032 0.8032 0.0000  2 Ni 2.36, 2 Li 2.63
Ni 0.0000 0.5000 0.5000  2 B 2.06
Ni 0.3930 0.8930 0.5000  2 B 1.89
Ni 0.6070 0.1070 0.5000  2 B 1.89
B 0.5000 0.5000 0.0000  6 Ni 1.89-2.06

Properties
The calculation puts the magnetic moment at 0.0000 μB/atom. Its density is 4.82 g cm⁻³. The value obtained for the energy relative to the elements is -0.08 eV per formula unit. Its space-group type is Immm.


Let's list VASP energy in order: -3.473 -4.654 eV per atom.